Record 1
First-principles (PBE) data for a relaxed structure of MnCdP2, as listed in the Alexandria database.

Results
The value obtained for the energy of formation from the pure elements is -53 meV per atom.

a b c (Å): 2.8755 2.8755 28.8581
angles (deg): 90.00 90.00 120.00
Space group R-3m (No. 166, hexagonal axes)
Symmetry-distinct sites (fractional):
Mn 0.0000 0.0000 0.0000
Cd 0.0000 0.0000 0.5000
P 0.0000 0.0000 0.2778

Record 2
First-principles (PBE) data for a relaxed structure of AcDyGaPb, as listed in the Alexandria database.

Results
The value obtained for the energy of formation from the pure elements is -398 meV per atom.

a b c (Å): 7.802 7.802 7.802
angles (deg): 90.00 90.00 90.00
Space group F-43m (No. 216)
Symmetry-distinct sites (fractional):
Ac 0.000 0.000 0.000
Dy 0.000 0.000 0.500
Ga 0.250 0.250 0.750
Pb 0.250 0.250 0.250

Record 3
First-principles (PBE) data for a relaxed structure of SmYAlTl, as listed in the Alexandria database.

Results
The value obtained for the energy of formation from the pure elements is -358 meV per atom. As for the energy above the most stable polymorph in this dataset: 22 meV/atom.

a b c (Å): 7.497 7.497 7.497
angles (deg): 90.00 90.00 90.00
Space group F-43m (No. 216)
Symmetry-distinct sites (fractional):
Sm 0.000 0.000 0.000
Y 0.000 0.000 0.500
Al 0.250 0.250 0.750
Tl 0.250 0.250 0.250

Record 4
First-principles (PBE) data for a relaxed structure of NaY2H, as listed in the Alexandria database.

Results
As for the energy above the most stable polymorph in this dataset: 50 meV/atom.

a b c (Å): 7.078 7.078 8.007
angles (deg): 90.00 90.00 90.00
Space group I-42d (No. 122)
Symmetry-distinct sites (fractional):
Na 0.000 0.000 0.000
Y 0.122 0.750 0.625
H 0.000 0.000 0.500